{"formula": "Li3VFe2O6", "functional": "PBE+U", "state": "relaxed", "lattice_angstrom": [[1.5007, 6.4779, -0.0010], [-1.5007, 6.4779, -0.0010], [0.0000, 1.4355, 5.8474]], "species": ["Li", "Li", "Li", "V", "Fe", "Fe", "O", "O", "O", "O", "O", "O"], "fractional_positions": [[0.0000, 0.0000, 0.0000], [0.3359, 0.3359, 0.3265], [0.6641, 0.6641, 0.6735], [0.0000, 0.0000, 0.5000], [0.3308, 0.3308, 0.8437], [0.6692, 0.6692, 0.1563], [0.8476, 0.8476, 0.5828], [0.1672, 0.1672, 0.9248], [0.1524, 0.1524, 0.4172], [0.5004, 0.5004, 0.2753], [0.4996, 0.4996, 0.7247], [0.8328, 0.8328, 0.0752]], "crystal_system": "monoclinic", "vol_a3_per_atom": 9.47, "energy_ev_per_atom": -6.3337, "relative_energy_mev_per_atom": 10, "sg": "No. 12"}